## a
BaBeSnPd after structural relaxation, computed with PBE.

Unit cell a=5.0464 b=5.0464 c=5.0464 alpha=60.00 beta=60.00 gamma=60.00
Sites, in units of the cell vectors:
Sn 0.0000 0.0000 0.0000
Ba 0.5000 0.5000 0.5000
Pd 0.2500 0.2500 0.2500
Be 0.7500 0.7500 0.7500


## b
BaBeSnPd after structural relaxation, computed with PBE.

Unit cell a=5.1403 b=5.1403 c=5.1403 alpha=60.00 beta=60.00 gamma=60.00
Sites, in units of the cell vectors:
Ba 0.2500 0.2500 0.2500
Sn 0.0000 0.0000 0.0000
Be 0.7500 0.7500 0.7500
Pd 0.5000 0.5000 0.5000


Least stable = b


## a
BaZrBePd after structural relaxation, computed with PBE.

Unit cell a=5.0605 b=5.0605 c=5.0605 alpha=60.00 beta=60.00 gamma=60.00
Sites, in units of the cell vectors:
Be 0.7500 0.7500 0.7500
Ba 0.5000 0.5000 0.5000
Zr 0.0000 0.0000 0.0000
Pd 0.2500 0.2500 0.2500


## b
BaZrBePd after structural relaxation, computed with PBE.

Unit cell a=4.8603 b=4.8603 c=4.8603 alpha=60.00 beta=60.00 gamma=60.00
Sites, in units of the cell vectors:
Be 0.7500 0.7500 0.7500
Pd 0.5000 0.5000 0.5000
Ba 0.0000 0.0000 0.0000
Zr 0.2500 0.2500 0.2500


Least stable = b


## a
BaBeSnPt after structural relaxation, computed with PBE.

Unit cell a=5.1290 b=5.1290 c=5.1290 alpha=60.00 beta=60.00 gamma=60.00
Sites, in units of the cell vectors:
Sn 0.0000 0.0000 0.0000
Be 0.7500 0.7500 0.7500
Pt 0.5000 0.5000 0.5000
Ba 0.2500 0.2500 0.2500


## b
BaBeSnPt after structural relaxation, computed with PBE.

Unit cell a=5.0668 b=5.0668 c=5.0668 alpha=60.00 beta=60.00 gamma=60.00
Sites, in units of the cell vectors:
Ba 0.5000 0.5000 0.5000
Be 0.7500 0.7500 0.7500
Pt 0.2500 0.2500 0.2500
Sn 0.0000 0.0000 0.0000


Least stable = a


## a
BaBeRe after structural relaxation, computed with PBE.

Unit cell a=4.6073 b=4.6073 c=4.6073 alpha=60.00 beta=60.00 gamma=60.00
Sites, in units of the cell vectors:
Ba 0.2500 0.2500 0.2500
Be 0.0000 0.0000 0.0000
Re 0.7500 0.7500 0.7500


## b
BaBeRe after structural relaxation, computed with PBE.

Unit cell a=4.6380 b=4.6380 c=4.6380 alpha=60.00 beta=60.00 gamma=60.00
Sites, in units of the cell vectors:
Be 0.7500 0.7500 0.7500
Re 0.0000 0.0000 0.0000
Ba 0.2500 0.2500 0.2500


Least stable = b


## a
K2BaCdBiSb after structural relaxation, computed with PBE.

Unit cell a=5.1288 b=10.0500 c=8.7199 alpha=90.00 beta=90.00 gamma=90.00
Sites, in units of the cell vectors:
Cd 0.5000 0.3182 0.3458
Cd 0.5000 0.6818 0.8458
Ba 0.0000 0.5502 0.5046
K 0.0000 0.1579 0.6483
Sb 0.0000 0.8208 0.7593
Ba 0.0000 0.4498 0.0046
K 0.5000 0.0813 0.9812
Bi 0.5000 0.6157 0.2153
K 0.5000 0.9187 0.4812
Sb 0.0000 0.1792 0.2593
K 0.0000 0.8421 0.1483
Bi 0.5000 0.3843 0.7153


## b
K2BaCdBiSb after structural relaxation, computed with PBE.

Unit cell a=5.1422 b=10.1171 c=8.6515 alpha=90.00 beta=90.00 gamma=90.00
Sites, in units of the cell vectors:
Cd 0.5000 0.6735 0.8484
Ba 0.0000 0.4512 0.0030
Ba 0.0000 0.5488 0.5030
K 0.5000 0.9172 0.4763
K 0.0000 0.1660 0.6541
K 0.5000 0.0828 0.9763
Bi 0.0000 0.1765 0.2585
Cd 0.5000 0.3265 0.3484
Sb 0.5000 0.6108 0.2141
Sb 0.5000 0.3892 0.7141
K 0.0000 0.8340 0.1541
Bi 0.0000 0.8235 0.7585


Least stable = a


## a
BaSrCdBiP after structural relaxation, computed with PBE.

Unit cell a=9.9306 b=9.9306 c=7.6651 alpha=90.00 beta=90.00 gamma=153.16
Sites, in units of the cell vectors:
Bi 0.6778 0.3222 0.0689
P 0.0733 0.9267 0.5741
Sr 0.6875 0.3125 0.5530
P 0.9267 0.0733 0.0741
Ba 0.5158 0.4842 0.2884
Ba 0.4842 0.5158 0.7884
Cd 0.8721 0.1279 0.3812
Sr 0.3125 0.6875 0.0530
Cd 0.1279 0.8721 0.8812
Bi 0.3222 0.6778 0.5689


## b
BaSrCdBiP after structural relaxation, computed with PBE.

Unit cell a=8.8134 b=8.8134 c=8.4667 alpha=90.00 beta=90.00 gamma=149.44
Sites, in units of the cell vectors:
Ba 0.0438 0.9562 0.2532
Bi 0.4230 0.5770 0.0555
P 0.1764 0.8236 0.9941
P 0.8236 0.1764 0.4941
Cd 0.3998 0.6002 0.4176
Cd 0.6002 0.3998 0.9176
Sr 0.2223 0.7777 0.6452
Ba 0.9562 0.0438 0.7532
Sr 0.7777 0.2223 0.1452
Bi 0.5770 0.4230 0.5555


## c
BaSrCdBiP after structural relaxation, computed with PBE.

Unit cell a=9.0066 b=9.0066 c=8.1700 alpha=90.00 beta=90.00 gamma=150.00
Sites, in units of the cell vectors:
Cd 0.5929 0.4071 0.9202
Bi 0.4235 0.5765 0.0402
Ba 0.2261 0.7739 0.6456
Sr 0.9675 0.0325 0.7501
Sr 0.0325 0.9675 0.2501
Bi 0.5765 0.4235 0.5402
P 0.1613 0.8387 0.0095
Cd 0.4071 0.5929 0.4202
Ba 0.7739 0.2261 0.1456
P 0.8387 0.1613 0.5095


Least stable = a


## a
BaSrCdBiSb after structural relaxation, computed with PBE.

Unit cell a=9.2404 b=9.2404 c=8.6418 alpha=90.00 beta=90.00 gamma=149.25
Sites, in units of the cell vectors:
Ba 0.9652 0.0348 0.7654
Sr 0.2099 0.7901 0.6211
Bi 0.4276 0.5724 0.0597
Bi 0.5724 0.4276 0.5597
Sb 0.8239 0.1761 0.4967
Cd 0.5931 0.4069 0.9228
Ba 0.0348 0.9652 0.2654
Cd 0.4069 0.5931 0.4228
Sr 0.7901 0.2099 0.1211
Sb 0.1761 0.8239 0.9967


## b
BaSrCdBiSb after structural relaxation, computed with PBE.

Unit cell a=9.3324 b=9.3324 c=8.5429 alpha=90.00 beta=90.00 gamma=149.49
Sites, in units of the cell vectors:
Sb 0.5677 0.4323 0.5640
Bi 0.1786 0.8214 0.0000
Bi 0.8214 0.1786 0.5000
Sr 0.7980 0.2020 0.1108
Sb 0.4323 0.5677 0.0640
Cd 0.5914 0.4086 0.9225
Ba 0.9663 0.0337 0.7682
Sr 0.2020 0.7980 0.6108
Cd 0.4086 0.5914 0.4225
Ba 0.0337 0.9663 0.2682


Least stable = b


## a
BaMgCoBi after structural relaxation, computed with PBE.

Unit cell a=5.2416 b=5.2416 c=5.2416 alpha=60.00 beta=60.00 gamma=60.00
Sites, in units of the cell vectors:
Ba 0.0000 0.0000 0.0000
Mg 0.7500 0.7500 0.7500
Bi 0.5000 0.5000 0.5000
Co 0.2500 0.2500 0.2500


## b
BaMgCoBi after structural relaxation, computed with PBE.

Unit cell a=5.3643 b=5.3643 c=5.3643 alpha=60.00 beta=60.00 gamma=60.00
Sites, in units of the cell vectors:
Co 0.0000 0.0000 0.0000
Mg 0.7500 0.7500 0.7500
Ba 0.5000 0.5000 0.5000
Bi 0.2500 0.2500 0.2500


Least stable = b


## a
BaCuBiPd after structural relaxation, computed with PBE.

Unit cell a=5.2640 b=5.2640 c=5.2640 alpha=60.00 beta=60.00 gamma=60.00
Sites, in units of the cell vectors:
Pd 0.5000 0.5000 0.5000
Bi 0.0000 0.0000 0.0000
Ba 0.2500 0.2500 0.2500
Cu 0.7500 0.7500 0.7500


## b
BaCuBiPd after structural relaxation, computed with PBE.

Unit cell a=5.2315 b=5.2315 c=5.2315 alpha=60.00 beta=60.00 gamma=60.00
Sites, in units of the cell vectors:
Cu 0.7500 0.7500 0.7500
Pd 0.5000 0.5000 0.5000
Bi 0.2500 0.2500 0.2500
Ba 0.0000 0.0000 0.0000


Least stable = a


## a
Ba2BiIrS6 after structural relaxation, computed with PBE.

Unit cell a=6.8229 b=6.8229 c=7.3836 alpha=117.79 beta=117.79 gamma=60.90
Last column: magnetic moment on the atom in μB.
Sites, in units of the cell vectors:
S 0.7718 0.7718 0.6889  0.04
Bi 0.5000 0.5000 0.5000  0.00
S 0.8140 0.2939 0.8244  0.05
S 0.1860 0.7061 0.1756  0.05
Ir 0.0000 0.0000 0.0000  0.35
S 0.2282 0.2282 0.3111  0.04
S 0.7061 0.1860 0.1756  0.07
Ba 0.7332 0.7332 0.2325  0.01
Ba 0.2668 0.2668 0.7675  0.01
S 0.2939 0.8140 0.8244  0.07


## b
Ba2BiIrS6 after structural relaxation, computed with PBE.

Unit cell a=13.6753 b=13.6753 c=13.6753 alpha=29.21 beta=29.21 gamma=29.21
Last column: magnetic moment on the atom in μB.
Sites, in units of the cell vectors:
S 0.7801 0.7801 0.3152  0.07
S 0.6089 0.6089 0.1320  0.05
S 0.2199 0.2199 0.6848  0.07
S 0.3911 0.8680 0.3911  0.04
S 0.2199 0.6848 0.2199  0.08
Bi 0.0000 0.0000 0.0000  -0.01
Bi 0.5000 0.5000 0.5000  -0.01
Ir 0.5850 0.5850 0.5850  0.36
S 0.3911 0.3911 0.8680  0.05
S 0.6848 0.2199 0.2199  0.07
S 0.7801 0.3152 0.7801  0.08
S 0.8680 0.3911 0.3911  0.06
S 0.6089 0.1320 0.6089  0.04
Ir 0.4150 0.4150 0.4150  0.36
Ba 0.8964 0.8964 0.8964  0.01
Ba 0.1036 0.1036 0.1036  0.01
S 0.1320 0.6089 0.6089  0.06
S 0.3152 0.7801 0.7801  0.07
Ba 0.3012 0.3012 0.3012  0.00
Ba 0.6988 0.6988 0.6988  0.00


Least stable = a


## a
BaNaNiBi after structural relaxation, computed with PBE.

Unit cell a=5.5128 b=5.5128 c=5.5128 alpha=60.00 beta=60.00 gamma=60.00
Sites, in units of the cell vectors:
Ni 0.5000 0.5000 0.5000
Ba 0.2500 0.2500 0.2500
Bi 0.0000 0.0000 0.0000
Na 0.7500 0.7500 0.7500


## b
BaNaNiBi after structural relaxation, computed with PBE.

Unit cell a=5.2520 b=5.2520 c=5.2520 alpha=60.00 beta=60.00 gamma=60.00
Sites, in units of the cell vectors:
Ba 0.5000 0.5000 0.5000
Ni 0.2500 0.2500 0.2500
Na 0.7500 0.7500 0.7500
Bi 0.0000 0.0000 0.0000


## c
BaNaNiBi after structural relaxation, computed with PBE.

Unit cell a=5.3625 b=5.3625 c=5.3625 alpha=60.00 beta=60.00 gamma=60.00
Sites, in units of the cell vectors:
Ni 0.5000 0.5000 0.5000
Ba 0.0000 0.0000 0.0000
Na 0.7500 0.7500 0.7500
Bi 0.2500 0.2500 0.2500


Least stable = a


## a
BaBiOs after structural relaxation, computed with PBE.

Unit cell a=5.2886 b=5.2886 c=5.2886 alpha=60.00 beta=60.00 gamma=60.00
Sites, in units of the cell vectors:
Bi 0.2500 0.2500 0.2500
Ba 0.0000 0.0000 0.0000
Os 0.7500 0.7500 0.7500


## b
BaBiOs after structural relaxation, computed with PBE.

Unit cell a=5.0166 b=5.0166 c=5.0166 alpha=60.00 beta=60.00 gamma=60.00
Sites, in units of the cell vectors:
Bi 0.7500 0.7500 0.7500
Os 0.0000 0.0000 0.0000
Ba 0.2500 0.2500 0.2500


Least stable = a